1.
Tl3AuN PBE relaxed; calculated density = 10.59 Mg/m³; final energy = -33.09 eV/cell; M_tot = 0.0 μB/f.u.; energy relative to the elements, uncorrected = 0.4317 eV per atom; energy above the most stable polymorph in this dataset = 0 meV/atom; DOS(E_F) = 1.42 states/eV/cell
1.0
5.545 0.000 0.000
2.661 5.747 0.000
1.866 -0.858 8.108
Tl Au N
6 2 2
direct
0.028 0.439 0.308
0.297 0.816 0.364
0.297 0.859 0.864
0.703 0.141 0.136
0.703 0.184 0.636
0.972 0.561 0.692
0.283 0.360 0.933
0.717 0.640 0.067
0.113 0.863 0.644
0.887 0.137 0.356

---

2.
TlAu3N PBE relaxed; calculated density = 8.57 Mg/m³; final energy = -12.15 eV/cell; M_tot = 2.9 μB/f.u.; energy relative to the elements, uncorrected = 1.6746 eV per atom; energy above the most stable polymorph in this dataset = 1034 meV/atom; DOS(E_F) = 1.69 states/eV/cell
1.0
5.393 0.000 0.000
0.000 5.393 0.000
0.000 0.000 5.393
Tl Au N
1 3 1
direct
0.000 0.000 0.000
0.000 0.000 0.500
0.000 0.500 0.000
0.500 0.000 0.000
0.500 0.500 0.500

---

3.
TlAuN3 PBE relaxed; calculated density = 8.94 Mg/m³; final energy = -17.22 eV/cell; M_tot = 4.4 μB/f.u.; energy relative to the elements, uncorrected = 2.6802 eV per atom; DOS(E_F) = 1.65 states/eV/cell
1.0
4.351 0.000 0.000
0.000 4.351 0.000
0.000 0.000 4.351
Tl Au N
1 1 3
direct
0.000 0.000 0.000
0.500 0.500 0.500
0.000 0.000 0.500
0.000 0.500 0.000
0.500 0.000 0.000

---

4.
TlAu2N PBE relaxed; calculated density = 10.39 Mg/m³; final energy = -61.85 eV/cell; M_tot = 0.0 μB/f.u.; energy relative to the elements, uncorrected = 0.4458 eV per atom; energy above the most stable polymorph in this dataset = 0 meV/atom; DOS(E_F) = 0.00 states/eV/cell
1.0
5.899 0.000 0.000
0.000 5.899 0.000
0.000 0.000 11.251
Tl Au N
4 8 4
direct
0.000 0.000 0.000
0.000 0.500 0.250
0.500 0.000 0.750
0.500 0.500 0.500
0.034 0.750 0.625
0.250 0.034 0.375
0.250 0.466 0.875
0.466 0.750 0.125
0.534 0.250 0.125
0.750 0.534 0.875
0.750 0.966 0.375
0.966 0.250 0.625
0.000 0.000 0.500
0.000 0.500 0.750
0.500 0.000 0.250
0.500 0.500 0.000

---

5.
Tl3AuN PBE relaxed; calculated density = 11.06 Mg/m³; final energy = -15.54 eV/cell; M_tot = 0.0 μB/f.u.; energy relative to the elements, uncorrected = 0.6315 eV per atom; energy above the most stable polymorph in this dataset = 200 meV/atom; DOS(E_F) = 2.04 states/eV/cell
1.0
4.984 0.000 0.000
0.000 4.984 0.000
0.000 0.000 4.984
Tl Au N
3 1 1
direct
0.000 0.000 0.500
0.000 0.500 0.000
0.500 0.000 0.000
0.500 0.500 0.500
0.000 0.000 0.000

---

6.
TlAu3N PBE relaxed; calculated density = 13.97 Mg/m³; final energy = -17.32 eV/cell; M_tot = 0.0 μB/f.u.; energy relative to the elements, uncorrected = 0.6411 eV per atom; energy above the most stable polymorph in this dataset = 0 meV/atom; DOS(E_F) = 1.60 states/eV/cell
1.0
4.582 0.000 0.000
0.000 4.582 0.000
0.000 0.000 4.582
Tl Au N
1 3 1
direct
0.000 0.000 0.000
0.000 0.500 0.500
0.500 0.000 0.500
0.500 0.500 0.000
0.500 0.500 0.500